# 1
# Sr2Al2GaRh5

Crystalline Sr2Al2GaRh5 at its relaxed geometry (GGA-PBE, the Alexandria database).

Summary:
Mass density ... 7693 kg/m3
Formation energy from the elements ... -5.5 eV per formula unit

Lattice parameters (Å, degrees): 10.5097 10.5097 3.1792 90.00 90.00 90.00
Space group P4/mbm (No. 127)
Inequivalent atoms, fractional coordinates:
Sr 0.1742 0.3258 0.0000
Al 0.1281 0.6281 0.0000
Ga 0.0000 0.0000 0.0000
Rh 0.0000 0.5000 0.5000
Rh 0.0615 0.8021 0.5000

=====

# 2
# Tb2Al2GaRh5

Crystalline Tb2Al2GaRh5 at its relaxed geometry (GGA-PBE, the Alexandria database).

Summary:
Mass density ... 9473 kg/m3
Formation energy from the elements ... -8.5 eV per formula unit

Lattice parameters (Å, degrees): 9.9465 9.9465 3.3879 90.00 90.00 90.00
Space group P4/mbm (No. 127)
Inequivalent atoms, fractional coordinates:
Tb 0.1737 0.3263 0.0000
Al 0.1261 0.6261 0.0000
Ga 0.0000 0.0000 0.0000
Rh 0.0000 0.5000 0.5000
Rh 0.0651 0.7977 0.5000

=====

Copy entry 1 word for word.
# Sr2Al2GaRh5

Crystalline Sr2Al2GaRh5 at its relaxed geometry (GGA-PBE, the Alexandria database).

Summary:
Mass density ... 7693 kg/m3
Formation energy from the elements ... -5.5 eV per formula unit

Lattice parameters (Å, degrees): 10.5097 10.5097 3.1792 90.00 90.00 90.00
Space group P4/mbm (No. 127)
Inequivalent atoms, fractional coordinates:
Sr 0.1742 0.3258 0.0000
Al 0.1281 0.6281 0.0000
Ga 0.0000 0.0000 0.0000
Rh 0.0000 0.5000 0.5000
Rh 0.0615 0.8021 0.5000

=====

Repeat the first record exactly.
# Sr2Al2GaRh5

Crystalline Sr2Al2GaRh5 at its relaxed geometry (GGA-PBE, the Alexandria database).

Summary:
Mass density ... 7693 kg/m3
Formation energy from the elements ... -5.5 eV per formula unit

Lattice parameters (Å, degrees): 10.5097 10.5097 3.1792 90.00 90.00 90.00
Space group P4/mbm (No. 127)
Inequivalent atoms, fractional coordinates:
Sr 0.1742 0.3258 0.0000
Al 0.1281 0.6281 0.0000
Ga 0.0000 0.0000 0.0000
Rh 0.0000 0.5000 0.5000
Rh 0.0615 0.8021 0.5000

=====

The highest mass density belongs to which entry?
Tb2Al2GaRh5

=====

Which formula does entry 2 have?
Tb2Al2GaRh5